Entry 1:
A plane-wave DFT calculation with PBE-GGA was carried out for Fe2IrRu after structural relaxation.

a = 2.8278 Å, b = 4.4855 Å, c = 8.5704 Å
α = 90.00°, β = 90.00°, γ = 90.00°
Closest atoms and distances in Å follow each position.
Space group Immm (No. 71)
Asymmetric unit:
1 Fe 0.0000 0.0000 0.2478 [4 per cell]  2 Ru 2.55, 2 Ir 2.58, 6 Fe 2.65-2.83
2 Ir 0.0000 0.5000 0.0000 [2 per cell]  4 Fe 2.58, 4 Ru 2.65, 2 Ir 2.83
3 Ru 0.0000 0.5000 0.5000 [2 per cell]  4 Fe 2.55, 4 Ir 2.65, 2 Ru 2.83

## Properties
DFT formation energy = 178 meV/atom
calculated total energy = -8.59 eV per atom

Entry 2:
A plane-wave DFT calculation with PBE-GGA was carried out for FeIr2Ru after structural relaxation.

a = 2.7778 Å, b = 4.4259 Å, c = 9.1202 Å
α = 90.00°, β = 90.00°, γ = 90.00°
Closest atoms and distances in Å follow each position.
Space group Imm2 (No. 44)
Asymmetric unit:
1 Fe 0.0000 0.0000 0.0000 [2 per cell]  2 Ru 2.46, 6 Ir 2.49-2.61
2 Ir 0.0000 0.0000 0.5019 [2 per cell]  4 Fe 2.61, 4 Ir 2.78-2.87, 2 Ru 2.87
3 Ir 0.0000 0.5000 0.7264 [2 per cell]  2 Fe 2.49, 4 Ru 2.65, 2 Ir 2.78
4 Ru 0.0000 0.5000 0.2768 [2 per cell]  2 Fe 2.46, 4 Ir 2.65

## Properties
DFT formation energy = 222 meV/atom
calculated total energy = -8.64 eV per atom

Entry 3:
A plane-wave DFT calculation with PBE-GGA was carried out for Fe2Ir7Ru3 after structural relaxation.

a = 5.3997 Å, b = 7.6666 Å, c = 8.5342 Å
α = 90.00°, β = 108.33°, γ = 90.00°
Closest atoms and distances in Å follow each position.
Space group C2/m (No. 12)
Asymmetric unit:
1 Fe 0.1668 0.0000 0.3337 [4 per cell]  4 Ru 2.68-2.70, 8 Ir 2.69-2.71
2 Ir 0.0000 0.2496 0.5000 [4 per cell]  4 Ir 2.67-2.70, 4 Ru 2.70, 4 Fe 2.70-2.71
3 Ir 0.0000 0.5000 0.0000 [2 per cell]  4 Ru 2.70-2.72, 8 Ir 2.72
4 Ir 0.1656 0.2500 0.8302 [8 per cell]  6 Ir 2.67-2.75, 2 Fe 2.69-2.70, 4 Ru 2.70-2.72
5 Ru 0.0000 0.0000 0.0000 [2 per cell]  10 Ir 2.70-2.72, 2 Fe 2.70
6 Ru 0.1674 0.5000 0.3358 [4 per cell]  3 Fe 2.68-2.70, 9 Ir 2.70-2.72

## Properties
DFT formation energy = -28 meV/atom
calculated total energy = -8.93 eV per atom

Entry 4:
A plane-wave DFT calculation with PBE-GGA was carried out for FeIr2Ru after structural relaxation.

a = 8.9066 Å, b = 2.7103 Å, c = 4.6494 Å
α = 90.00°, β = 100.61°, γ = 90.00°
Closest atoms and distances in Å follow each position.
Space group Cm (No. 8)
Asymmetric unit:
1 Fe 0.0000 0.0000 0.0000 [2 per cell]  7 Ir 2.65-2.72, 3 Ru 2.68-2.70, 2 Fe 2.71
2 Ir 0.9996 0.5000 0.5062 [2 per cell]  4 Fe 2.67-2.72, 3 Ru 2.67-2.68, 5 Ir 2.71-2.72
3 Ir 0.2468 0.5000 0.2386 [2 per cell]  3 Fe 2.65-2.69, 4 Ru 2.65-2.73, 5 Ir 2.71-2.72
4 Ru 0.2506 0.0000 0.7500 [2 per cell]  7 Ir 2.65-2.73, 3 Fe 2.68-2.70, 2 Ru 2.71

## Properties
DFT formation energy = -4 meV/atom
calculated total energy = -8.87 eV per atom

Entry 5:
A plane-wave DFT calculation with PBE-GGA was carried out for Fe3Ir12Ru after structural relaxation.

a = 3.8323 Å, b = 3.8323 Å, c = 15.3292 Å
α = 90.00°, β = 90.00°, γ = 90.00°
Closest atoms and distances in Å follow each position.
Space group P4/mmm (No. 123)
Asymmetric unit:
1 Fe 0.0000 0.0000 0.0000 [1 per cell]  12 Ir 2.71
2 Fe 0.0000 0.0000 0.2458 [2 per cell]  12 Ir 2.67-2.75
3 Ir 0.0000 0.5000 0.1246 [4 per cell]  4 Fe 2.67-2.71, 8 Ir 2.71
4 Ir 0.0000 0.5000 0.3744 [4 per cell]  8 Ir 2.71-2.72, 2 Ru 2.72, 2 Fe 2.75
5 Ir 0.5000 0.5000 0.0000 [1 per cell]  8 Ir 2.71, 4 Fe 2.71
6 Ir 0.5000 0.5000 0.2495 [2 per cell]  8 Ir 2.71, 4 Fe 2.71
7 Ir 0.5000 0.5000 0.5000 [1 per cell]  4 Ru 2.71, 8 Ir 2.72
8 Ru 0.0000 0.0000 0.5000 [1 per cell]  12 Ir 2.71-2.72

## Properties
DFT formation energy = -54 meV/atom
calculated total energy = -8.87 eV per atom

Entry 6:
A plane-wave DFT calculation with PBE-GGA was carried out for FeIr6Ru2 after structural relaxation.

a = 11.5084 Å, b = 3.8377 Å, c = 6.0638 Å
α = 90.00°, β = 108.42°, γ = 90.00°
Closest atoms and distances in Å follow each position.
Space group C2/m (No. 12)
Asymmetric unit:
1 Fe 0.0000 0.0000 0.0000 [2 per cell]  8 Ir 2.69-2.70, 4 Ru 2.71
2 Ir 0.1082 0.0000 0.6650 [4 per cell]  7 Ir 2.66-2.77, 4 Ru 2.69-2.71, 1 Fe 2.70
3 Ir 0.1641 0.5000 0.9987 [4 per cell]  2 Ru 2.69, 2 Fe 2.69, 8 Ir 2.71-2.77
4 Ir 0.2193 0.0000 0.3333 [4 per cell]  3 Ru 2.69-2.74, 1 Fe 2.69, 8 Ir 2.70-2.76
5 Ru 0.0556 0.5000 0.3328 [4 per cell]  9 Ir 2.69-2.74, 2 Fe 2.71, 1 Ru 2.72

## Properties
DFT formation energy = -22 meV/atom
calculated total energy = -8.93 eV per atom

Entry 7:
A plane-wave DFT calculation with PBE-GGA was carried out for FeIrRu after structural relaxation.

a = 4.2096 Å, b = 4.2096 Å, c = 2.6601 Å
α = 90.00°, β = 90.00°, γ = 120.00°
Closest atoms and distances in Å follow each position.
Space group P-6m2 (No. 187)
Asymmetric unit:
1 Fe 0.0000 0.0000 0.0000 [1 per cell]  3 Ir 2.43, 2 Fe 2.66
2 Ir 0.6667 0.3333 0.0000 [1 per cell]  3 Fe 2.43, 2 Ir 2.66
3 Ru 0.3333 0.6667 0.5000 [1 per cell]  2 Ru 2.66, 6 Fe 2.77, 6 Ir 2.77

## Properties
DFT formation energy = 112 meV/atom
calculated total energy = -8.75 eV per atom

Entry 8:
A plane-wave DFT calculation with PBE-GGA was carried out for FeIr7Ru4 after structural relaxation.

a = 4.6945 Å, b = 5.4334 Å, c = 7.1751 Å
α = 100.87°, β = 108.95°, γ = 90.03°
Closest atoms and distances in Å follow each position.
Space group P-1 (No. 2)
Asymmetric unit:
1 Fe 0.0000 0.0000 0.0000 [1 per cell]  10 Ir 2.70-2.72, 2 Ru 2.71
2 Ir 0.0000 0.5000 0.0000 [1 per cell]  6 Ir 2.71-2.72, 4 Ru 2.72, 2 Fe 2.72
3 Ir 0.0032 0.3320 0.3352 [2 per cell]  5 Ir 2.70-2.74, 6 Ru 2.70-2.73, 1 Fe 2.72
4 Ir 0.4975 0.2489 0.9990 [2 per cell]  2 Fe 2.70-2.72, 3 Ru 2.71-2.72, 7 Ir 2.71-2.74
5 Ir 0.4993 0.0826 0.3336 [2 per cell]  5 Ir 2.70-2.72, 6 Ru 2.70-2.72, 1 Fe 2.72
6 Ru 0.0005 0.8340 0.3333 [2 per cell]  8 Ir 2.70-2.73, 1 Fe 2.71, 3 Ru 2.71-2.72
7 Ru 0.5000 0.4166 0.6662 [2 per cell]  9 Ir 2.70-2.73, 3 Ru 2.71-2.72

## Properties
DFT formation energy = -25 meV/atom
calculated total energy = -8.99 eV per atom

Entry 9:
A plane-wave DFT calculation with PBE-GGA was carried out for Fe2Ir4Ru5 after structural relaxation.

a = 6.6359 Å, b = 2.6907 Å, c = 8.6400 Å
α = 90.00°, β = 95.42°, γ = 90.00°
Closest atoms and distances in Å follow each position.
Space group P2/m (No. 10)
Asymmetric unit:
1 Fe 0.0547 0.0000 0.1314 [2 per cell]  1 Fe 2.32, 2 Ru 2.52-2.55
2 Ir 0.1705 0.5000 0.3809 [2 per cell]  2 Fe 2.60, 8 Ru 2.69-2.81, 2 Ir 2.69
3 Ir 0.2839 0.5000 0.9418 [2 per cell]  4 Fe 2.64-2.70, 6 Ru 2.68-2.81, 3 Ir 2.69-2.95
4 Ru 0.1853 0.0000 0.6589 [2 per cell]  1 Fe 2.52, 4 Ru 2.61-2.69, 6 Ir 2.71-2.81
5 Ru 0.4366 0.0000 0.2002 [2 per cell]  1 Fe 2.55, 4 Ru 2.58-2.69, 6 Ir 2.68-2.81
6 Ru 0.5000 0.0000 0.5000 [1 per cell]  6 Ru 2.58-2.69, 4 Ir 2.69

## Properties
DFT formation energy = 134 meV/atom
calculated total energy = -8.84 eV per atom

Entry 10:
A plane-wave DFT calculation with PBE-GGA was carried out for FeIr2Ru after structural relaxation.

a = 2.7101 Å, b = 3.7761 Å, c = 5.3840 Å
α = 90.00°, β = 90.00°, γ = 90.00°
Closest atoms and distances in Å follow each position.
Space group Pmm2 (No. 25)
Asymmetric unit:
1 Fe 0.0000 0.0000 0.0000 [1 per cell]  6 Ir 2.66-2.73, 4 Ru 2.68, 2 Fe 2.71
2 Ir 0.0000 0.0000 0.5068 [1 per cell]  2 Fe 2.66-2.73, 4 Ru 2.68, 6 Ir 2.71-2.73
3 Ir 0.5000 0.5000 0.2394 [1 per cell]  2 Ru 2.62-2.77, 4 Fe 2.66, 6 Ir 2.71-2.73
4 Ru 0.5000 0.5000 0.7535 [1 per cell]  6 Ir 2.62-2.77, 4 Fe 2.68, 2 Ru 2.71

## Properties
DFT formation energy = 2 meV/atom
calculated total energy = -8.86 eV per atom

Entry 11:
A plane-wave DFT calculation with PBE-GGA was carried out for FeIr2Ru after structural relaxation.

a = 2.7317 Å, b = 4.6399 Å, c = 8.9976 Å
α = 90.00°, β = 90.00°, γ = 90.00°
Closest atoms and distances in Å follow each position.
Space group Cmm2 (No. 35)
Asymmetric unit:
1 Fe 0.0000 0.0000 0.0000 [2 per cell]  2 Ru 2.55, 2 Ir 2.56, 6 Fe 2.69-2.73
2 Ir 0.0000 0.0000 0.4953 [2 per cell]  2 Ru 2.68, 8 Ir 2.69-2.74
3 Ir 0.0000 0.5000 0.7599 [2 per cell]  2 Fe 2.56, 8 Ir 2.69-2.74
4 Ru 0.0000 0.5000 0.2393 [2 per cell]  2 Fe 2.55, 2 Ir 2.68, 6 Ru 2.69-2.73

## Properties
DFT formation energy = 287 meV/atom
calculated total energy = -8.58 eV per atom

Entry 12:
A plane-wave DFT calculation with PBE-GGA was carried out for Fe2IrRu after structural relaxation.

a = 6.0068 Å, b = 6.0068 Å, c = 6.0068 Å
α = 90.00°, β = 90.00°, γ = 90.00°
Closest atoms and distances in Å follow each position.
Space group F-43m (No. 216)
Asymmetric unit:
1 Fe 0.0000 0.0000 0.0000 [4 per cell]  4 Fe 2.60, 4 Ir 2.60
2 Fe 0.2500 0.2500 0.2500 [4 per cell]  4 Fe 2.60, 4 Ru 2.60
3 Ir 0.2500 0.2500 0.7500 [4 per cell]  4 Fe 2.60, 4 Ru 2.60
4 Ru 0.0000 0.0000 0.5000 [4 per cell]  4 Fe 2.60, 4 Ir 2.60

## Properties
DFT formation energy = 214 meV/atom
calculated total energy = -8.55 eV per atom